The following is a PBE calculation of an optimized crystal structure of Y2HgPb2, from Alexandria via LeMat-Bulk.

Computed properties:
**E above lowest polymorph**: 48 meV/atom
**SG**: No. 127

Cell and atoms, written as POSCAR:
```
Y2HgPb2
1.0
-1.640 8.433 -2.208
-6.529 -2.677 -5.375
-2.467 0.270 2.863
Pb Y Hg
4 4 2
Direct
0.161 0.661 0.500 Pb
0.661 0.839 0.500 Pb
0.839 0.339 0.500 Pb
0.339 0.161 0.500 Pb
0.356 0.856 0.000 Y
0.856 0.644 0.000 Y
0.644 0.144 0.000 Y
0.144 0.356 0.000 Y
0.000 0.000 0.000 Hg
0.500 0.500 0.000 Hg
```

=====

The following is a PBE calculation of an optimized crystal structure of YHg2Pb, from Alexandria via LeMat-Bulk.

Computed properties:
**SG**: No. 166

Cell and atoms, written as POSCAR:
```
YHg2Pb
1.0
9.885 -0.013 -0.007
9.198 3.619 -0.007
9.198 1.738 3.174
Hg Pb Y
2 1 1
Direct
0.005 0.005 0.005 Hg
0.495 0.495 0.495 Hg
0.250 0.250 0.250 Pb
0.750 0.750 0.750 Y
```

=====

The following is a PBE calculation of an optimized crystal structure of YHg2Pb, from Alexandria via LeMat-Bulk.

Computed properties:
**SG**: No. 71

Cell and atoms, written as POSCAR:
```
YHg2Pb
1.0
3.686 0.000 0.000
0.000 5.478 0.000
-1.843 -2.739 5.320
Hg Pb Y
2 1 1
Direct
0.742 0.742 0.484 Hg
0.258 0.258 0.516 Hg
0.500 0.000 0.000 Pb
0.000 0.500 0.000 Y
```

=====

The following is a PBE calculation of an optimized crystal structure of Y5Hg6Pb, from Alexandria via LeMat-Bulk.

Computed properties:
**SG**: No. 65

Cell and atoms, written as POSCAR:
```
Y5Hg6Pb
1.0
4.974 -0.029 1.658
0.040 7.562 0.013
0.012 -0.015 8.256
Y Pb Hg
5 1 6
Direct
0.672 0.500 0.657 Y
0.347 0.000 0.307 Y
0.000 0.500 0.000 Y
0.653 0.000 0.693 Y
0.328 0.500 0.343 Y
0.000 0.000 0.000 Pb
0.827 0.755 0.346 Hg
0.827 0.245 0.346 Hg
0.500 0.273 0.000 Hg
0.500 0.727 0.000 Hg
0.173 0.755 0.654 Hg
0.173 0.245 0.654 Hg
```

=====

The following is a PBE calculation of an optimized crystal structure of Y4HgPb, from Alexandria via LeMat-Bulk.

Computed properties:
**SG**: No. 216

Cell and atoms, written as POSCAR:
```
Y4HgPb
1.0
0.000 4.498 4.498
4.498 0.000 4.498
4.498 4.498 0.000
Y Hg Pb
4 1 1
Direct
0.876 0.375 0.375 Y
0.375 0.375 0.876 Y
0.375 0.876 0.375 Y
0.375 0.375 0.375 Y
0.750 0.750 0.750 Hg
0.000 0.000 0.000 Pb
```

=====

The following is a PBE calculation of an optimized crystal structure of YHgPb, from Alexandria via LeMat-Bulk.

Computed properties:
**E above lowest polymorph**: 225 meV/atom
**SG**: No. 156

Cell and atoms, written as POSCAR:
```
YHgPb
1.0
-2.227 2.851 -0.022
-1.061 -3.135 -1.460
-2.832 -2.160 6.696
Hg Pb Y
1 1 1
Direct
0.000 0.000 0.995 Hg
0.667 0.333 0.327 Pb
0.333 0.667 0.678 Y
```

=====

The following is a PBE calculation of an optimized crystal structure of Y5Hg4Pb, from Alexandria via LeMat-Bulk.

Computed properties:
**SG**: No. 123

Cell and atoms, written as POSCAR:
```
Y5Hg4Pb
1.0
3.740 0.000 0.000
0.000 3.740 0.000
0.000 0.000 18.863
Y Hg Pb
5 4 1
Direct
0.500 0.500 0.108 Y
0.500 0.500 0.304 Y
0.500 0.500 0.500 Y
0.500 0.500 0.696 Y
0.500 0.500 0.892 Y
0.000 0.000 0.208 Hg
0.000 0.000 0.400 Hg
0.000 0.000 0.600 Hg
0.000 0.000 0.792 Hg
0.000 0.000 0.000 Pb
```

=====

The following is a PBE calculation of an optimized crystal structure of YHg2Pb, from Alexandria via LeMat-Bulk.

Computed properties:
**SG**: No. 139

Cell and atoms, written as POSCAR:
```
YHg2Pb
1.0
-3.022 0.286 -4.941
0.256 -5.019 -2.893
-1.297 1.320 5.496
Pb Y Hg
1 1 2
Direct
0.250 0.750 0.500 Pb
0.750 0.250 0.500 Y
0.000 0.000 0.000 Hg
0.500 0.500 0.000 Hg
```

=====

The following is a PBE calculation of an optimized crystal structure of YHg2Pb, from Alexandria via LeMat-Bulk.

Computed properties:
**SG**: No. 122

Cell and atoms, written as POSCAR:
```
YHg2Pb
1.0
-2.955 3.794 6.889
-6.034 -5.814 0.614
-2.574 -2.811 5.567
Pb Y Hg
2 2 4
Direct
0.000 0.000 0.000 Pb
0.750 0.250 0.500 Pb
0.500 0.500 0.000 Y
0.250 0.750 0.500 Y
0.627 0.125 0.250 Hg
0.123 0.625 0.250 Hg
0.375 0.373 0.750 Hg
0.875 0.877 0.750 Hg
```

=====

The following is a PBE calculation of an optimized crystal structure of Y2HgPb2, from Alexandria via LeMat-Bulk.

Computed properties:
**E above lowest polymorph**: 243 meV/atom
**SG**: No. 139

Cell and atoms, written as POSCAR:
```
Y2HgPb2
1.0
-2.752 2.220 2.488
-2.051 -3.671 1.007
2.614 -1.755 8.212
Pb Y Hg
2 2 1
Direct
0.750 0.250 0.500 Pb
0.250 0.750 0.500 Pb
0.399 0.399 0.201 Y
0.601 0.601 0.799 Y
0.000 0.000 0.000 Hg
```

=====

The following is a PBE calculation of an optimized crystal structure of YHg2Pb, from Alexandria via LeMat-Bulk.

Computed properties:
**SG**: No. 12

Cell and atoms, written as POSCAR:
```
YHg2Pb
1.0
5.777 0.081 0.042
4.595 3.503 0.042
1.366 0.472 5.382
Pb Y Hg
1 1 2
Direct
0.750 0.750 0.750 Pb
0.250 0.250 0.250 Y
0.994 0.994 0.009 Hg
0.506 0.506 0.491 Hg
```

=====

The following is a PBE calculation of an optimized crystal structure of YHg6Pb2, from Alexandria via LeMat-Bulk.

Computed properties:
**SG**: No. 12

Cell and atoms, written as POSCAR:
```
YHg6Pb2
1.0
-0.908 -3.567 -3.616
2.473 -5.566 1.110
-5.697 -5.067 4.549
Y Hg Pb
1 6 2
Direct
0.000 0.000 0.500 Y
0.168 0.826 0.179 Hg
0.832 0.495 0.179 Hg
0.832 0.174 0.821 Hg
0.168 0.505 0.821 Hg
0.326 0.348 0.500 Hg
0.674 0.652 0.500 Hg
0.500 0.835 0.829 Pb
0.500 0.165 0.171 Pb
```

=====

The following is a PBE calculation of an optimized crystal structure of YHg4Pb, from Alexandria via LeMat-Bulk.

Computed properties:
**E above lowest polymorph**: 0 meV/atom
**SG**: No. 2

Cell and atoms, written as POSCAR:
```
YHg4Pb
1.0
9.947 -0.023 -2.132
-0.488 6.150 -2.440
-6.325 -1.383 6.884
Y Hg Pb
2 8 2
Direct
0.750 0.000 0.000 Y
0.250 0.000 0.000 Y
0.750 0.594 0.666 Hg
0.750 0.405 0.332 Hg
0.751 0.075 0.668 Hg
0.250 0.076 0.667 Hg
0.250 0.406 0.334 Hg
0.250 0.595 0.668 Hg
0.249 0.925 0.332 Hg
0.750 0.924 0.333 Hg
0.750 0.500 0.000 Pb
0.250 0.500 0.000 Pb
```

=====

The following is a PBE calculation of an optimized crystal structure of Y6Hg5Pb, from Alexandria via LeMat-Bulk.

Computed properties:
**SG**: No. 71

Cell and atoms, written as POSCAR:
```
Y6Hg5Pb
1.0
5.093 0.022 -1.486
-1.023 6.548 -3.410
-0.086 0.526 9.182
Y Pb Hg
6 1 5
Direct
0.831 0.579 0.663 Y
0.831 0.084 0.663 Y
0.500 0.745 0.000 Y
0.500 0.255 0.000 Y
0.169 0.916 0.337 Y
0.169 0.421 0.337 Y
0.000 0.000 0.000 Pb
0.671 0.171 0.341 Hg
0.333 0.333 0.666 Hg
0.000 0.500 0.000 Hg
0.667 0.667 0.334 Hg
0.329 0.829 0.659 Hg
```

=====

The following is a PBE calculation of an optimized crystal structure of YHgPb, from Alexandria via LeMat-Bulk.

Computed properties:
**E above lowest polymorph**: 0 meV/atom
**SG**: No. 62

Cell and atoms, written as POSCAR:
```
YHgPb
1.0
-2.773 2.451 -3.037
1.664 -7.028 -7.189
-5.292 -3.394 2.094
Y Hg Pb
4 4 4
Direct
0.250 0.092 0.814 Y
0.750 0.908 0.186 Y
0.250 0.408 0.314 Y
0.750 0.592 0.686 Y
0.750 0.585 0.187 Hg
0.250 0.415 0.813 Hg
0.750 0.915 0.687 Hg
0.250 0.085 0.313 Hg
0.750 0.253 0.049 Pb
0.250 0.747 0.951 Pb
0.750 0.247 0.549 Pb
0.250 0.753 0.451 Pb
```

=====

The following is a PBE calculation of an optimized crystal structure of YHg2Pb, from Alexandria via LeMat-Bulk.

Computed properties:
**SG**: No. 160

Cell and atoms, written as POSCAR:
```
YHg2Pb
1.0
-2.022 -1.862 3.898
2.726 -1.864 3.442
0.492 4.060 5.114
Y Hg Pb
1 2 1
Direct
0.676 0.676 0.971 Y
0.079 0.079 0.763 Hg
0.257 0.257 0.230 Hg
0.488 0.488 0.536 Pb
```

=====

The following is a PBE calculation of an optimized crystal structure of YHg2Pb, from Alexandria via LeMat-Bulk.

Computed properties:
**SG**: No. 65

Cell and atoms, written as POSCAR:
```
YHg2Pb
1.0
8.023 0.393 1.046
-2.823 3.583 0.332
2.377 1.497 3.986
Pb Y Hg
1 1 2
Direct
0.000 0.500 0.500 Pb
0.500 0.500 0.000 Y
0.000 0.000 0.000 Hg
0.500 0.000 0.500 Hg
```

=====

The following is a PBE calculation of an optimized crystal structure of YHgPb, from Alexandria via LeMat-Bulk.

Computed properties:
**E above lowest polymorph**: 38 meV/atom
**SG**: No. 156

Cell and atoms, written as POSCAR:
```
YHgPb
1.0
-0.611 3.943 2.933
-0.087 -4.559 1.930
3.813 0.168 0.568
Pb Y Hg
1 1 1
Direct
0.667 0.333 0.296 Pb
0.333 0.667 0.701 Y
0.000 0.000 0.003 Hg
```

=====

The following is a PBE calculation of an optimized crystal structure of ZnHgPb, from Alexandria via LeMat-Bulk.

Computed properties:
**SG**: No. 107

Cell and atoms, written as POSCAR:
```
ZnHgPb
1.0
-5.045 -2.772 2.714
-2.966 -5.561 -0.882
5.504 3.098 0.779
Hg Pb Zn
1 1 1
Direct
0.024 0.024 0.000 Hg
0.325 0.325 0.000 Pb
0.651 0.651 0.000 Zn
```

=====

The following is a PBE calculation of an optimized crystal structure of ZnHg2Pb, from Alexandria via LeMat-Bulk.

Computed properties:
**SG**: No. 160

Cell and atoms, written as POSCAR:
```
ZnHg2Pb
1.0
-8.770 4.483 -2.053
-9.911 1.387 -1.032
-9.212 3.828 1.309
Pb Zn Hg
1 1 2
Direct
0.492 0.492 0.492 Pb
0.742 0.742 0.742 Zn
0.008 0.008 0.008 Hg
0.257 0.257 0.257 Hg
```

=====

The following is a PBE calculation of an optimized crystal structure of ZnHg2Pb, from Alexandria via LeMat-Bulk.

Computed properties:
**SG**: No. 47

Cell and atoms, written as POSCAR:
```
ZnHg2Pb
1.0
3.378 0.000 0.000
0.000 3.761 0.000
0.000 0.000 7.683
Pb Zn Hg
1 1 2
Direct
0.500 0.500 0.250 Pb
0.500 0.500 0.750 Zn
0.000 0.000 0.961 Hg
0.000 0.000 0.539 Hg
```

=====

The following is a PBE calculation of an optimized crystal structure of ZnHg2Pb, from Alexandria via LeMat-Bulk.

Computed properties:
**SG**: No. 6

Cell and atoms, written as POSCAR:
```
ZnHg2Pb
1.0
4.571 0.000 0.000
0.000 3.781 -0.032
0.000 1.315 5.803
Hg Pb Zn
2 1 1
Direct
0.000 0.829 0.016 Hg
0.500 0.215 0.213 Hg
0.000 0.506 0.550 Pb
0.500 0.949 0.721 Zn
```

=====

The following is a PBE calculation of an optimized crystal structure of Zn2Hg2Pb, from Alexandria via LeMat-Bulk.

Computed properties:
**E above lowest polymorph**: 34 meV/atom
**SG**: No. 127

Cell and atoms, written as POSCAR:
```
Zn2Hg2Pb
1.0
-1.527 -7.859 2.132
3.658 1.276 7.323
-2.951 0.929 1.312
Pb Zn Hg
2 4 4
Direct
0.000 0.000 0.000 Pb
0.500 0.500 0.000 Pb
0.158 0.658 0.500 Zn
0.658 0.842 0.500 Zn
0.842 0.342 0.500 Zn
0.342 0.158 0.500 Zn
0.362 0.862 0.000 Hg
0.862 0.638 0.000 Hg
0.638 0.138 0.000 Hg
0.138 0.362 0.000 Hg
```

=====

The following is a PBE calculation of an optimized crystal structure of ZnHg2Pb, from Alexandria via LeMat-Bulk.

Computed properties:
**SG**: No. 119

Cell and atoms, written as POSCAR:
```
ZnHg2Pb
1.0
-1.364 -2.292 -5.026
0.091 -5.676 0.380
-2.521 3.990 3.177
Hg Pb Zn
2 1 1
Direct
0.000 0.000 0.000 Hg
0.250 0.750 0.500 Hg
0.500 0.500 0.000 Pb
0.750 0.250 0.500 Zn
```

=====

The following is a PBE calculation of an optimized crystal structure of ZnHgPb2, from Alexandria via LeMat-Bulk.

Computed properties:
**E above lowest polymorph**: 16 meV/atom
**SG**: No. 160

Cell and atoms, written as POSCAR:
```
ZnHgPb2
1.0
10.131 0.048 0.028
9.502 3.514 0.028
9.502 1.724 3.062
Pb Zn Hg
2 1 1
Direct
0.995 0.995 0.995 Pb
0.760 0.760 0.760 Pb
0.507 0.507 0.507 Zn
0.238 0.238 0.238 Hg
```

=====

The following is a PBE calculation of an optimized crystal structure of ZnHgPb2, from Alexandria via LeMat-Bulk.

Computed properties:
**E above lowest polymorph**: 7 meV/atom
**SG**: No. 6

Cell and atoms, written as POSCAR:
```
ZnHgPb2
1.0
-0.024 0.415 -4.491
2.436 -3.177 -0.307
-3.365 -5.240 -0.467
Pb Zn Hg
2 1 1
Direct
0.000 0.974 0.951 Pb
0.500 0.276 0.316 Pb
0.000 0.679 0.470 Zn
0.500 0.571 0.763 Hg
```

=====

The following is a PBE calculation of an optimized crystal structure of Zn2Hg2Pb, from Alexandria via LeMat-Bulk.

Computed properties:
**E above lowest polymorph**: 10 meV/atom
**SG**: No. 139

Cell and atoms, written as POSCAR:
```
Zn2Hg2Pb
1.0
-2.344 -3.317 1.605
3.168 -0.841 2.886
-2.202 1.687 6.212
Pb Zn Hg
1 2 2
Direct
0.000 0.000 0.000 Pb
0.398 0.398 0.203 Zn
0.602 0.602 0.797 Zn
0.750 0.250 0.500 Hg
0.250 0.750 0.500 Hg
```

=====

| no. | energy of formation from the pure elements (eV/atom) |
| --- | --- |
| 1 | -0.308 |
| 2 | -0.176 |
| 3 | -0.275 |
| 4 | -0.450 |
| 5 | 0.194 |
| 6 | -0.169 |
| 7 | -0.502 |
| 8 | -0.331 |
| 9 | -0.197 |
| 10 | -0.114 |
| 11 | -0.280 |
| 12 | -0.102 |
| 13 | -0.208 |
| 14 | -0.508 |
| 15 | -0.394 |
| 16 | -0.197 |
| 17 | -0.352 |
| 18 | -0.356 |
| 19 | 0.110 |
| 20 | 0.096 |
| 21 | 0.088 |
| 22 | 0.100 |
| 23 | 0.139 |
| 24 | 0.134 |
| 25 | 0.097 |
| 26 | 0.088 |
| 27 | 0.115 |